The following is a PBE calculation of a geometry-optimized LiIrPdF6 structure, from Alexandria via LeMat-Bulk.

Output
Total moment, μB/cell: 4.1
N(E_F), states/eV/f.u.: 1.1
Crystal system: trigonal
Energy relative to the elements, uncorrected, meV per atom: -1639

Lattice parameters (Å, degrees): 5.2731 5.2731 9.6027 90.00 90.00 120.00
Space group P-31c (No. 163)
Asymmetric unit:
Li (0.3333, 0.6667, 0.2500) x2
Ir (0.3333, 0.6667, 0.7500) x2
Pd (0.0000, 0.0000, 0.0000) x2
F (0.0059, 0.3546, 0.6361) x12

***

The following is a PBE calculation of a geometry-optimized CaSmCdAg structure, from Alexandria via LeMat-Bulk.

Output
Energy of formation, kJ/mol of formula units: -121
Total moment, μB/cell: 0.0
Energy above the most stable polymorph in this dataset, eV/atom: 0.0000
N(E_F), states/eV/f.u.: 3.6
Crystal system: tetragonal

Lattice parameters (Å, degrees): 3.7583 3.7583 7.5874 90.00 90.00 90.00
Space group P4mm (No. 99)
Asymmetric unit:
Ca (0.0000, 0.0000, 0.0000) x1
Sm (0.0000, 0.0000, 0.5182) x1
Cd (0.5000, 0.5000, 0.2645) x1
Ag (0.5000, 0.5000, 0.7494) x1

***

The following is a PBE calculation of a geometry-optimized NdGd4Ho structure, from Alexandria via LeMat-Bulk.

Output
Energy of formation, kJ/mol of formula units: 148
Total moment, μB/cell: 114.4
N(E_F), states/eV/f.u.: 12.6
Crystal system: cubic

Lattice parameters (Å, degrees): 9.3425 9.3425 9.3425 90.00 90.00 90.00
Space group F-43m (No. 216)
Asymmetric unit:
Nd (0.0000, 0.0000, 0.0000) x4
Gd (0.1247, 0.1247, 0.3753) x16
Ho (0.2500, 0.2500, 0.7500) x4

***

The following is a PBE calculation of a geometry-optimized ThTl2HgBr6 structure, from Alexandria via LeMat-Bulk.

Output
Total moment, μB/cell: 0.0
N(E_F), states/eV/f.u.: 0.0
Crystal system: triclinic
Energy relative to the elements, uncorrected, meV per atom: -1220

Lattice parameters (Å, degrees): 8.2776 8.2786 9.0650 62.83 62.86 60.10
Space group P1 (No. 1)
Asymmetric unit:
Th (0.0000, 0.0000, 0.0000) x1
Tl (0.1859, 0.1851, 0.4437) x1
Tl (0.6581, 0.6579, 0.0253) x1
Hg (0.4952, 0.4953, 0.5138) x1
Br (0.0258, 0.8258, 0.7769) x1
Br (0.2024, 0.6335, 0.2073) x1
Br (0.3716, 0.0256, 0.7773) x1
Br (0.6332, 0.9566, 0.2068) x1
Br (0.8264, 0.3711, 0.7768) x1
Br (0.9562, 0.2027, 0.2075) x1

***

The following is a PBE calculation of a geometry-optimized TbY8Tm6 structure, from Alexandria via LeMat-Bulk.

Output
Energy of formation, kJ/mol of formula units: 273
Total moment, μB/cell: 0.0
Energy above the most stable polymorph in this dataset, eV/atom: 0.0000
N(E_F), states/eV/f.u.: 21.7
Crystal system: trigonal

Lattice parameters (Å, degrees): 9.6767 9.6767 17.6613 90.00 90.00 120.00
Space group R-3 (No. 148, hexagonal axes)
Asymmetric unit:
Tb (0.0000, 0.0000, 0.0000) x3
Y (0.0000, 0.0000, 0.4111) x6
Y (0.0568, 0.8153, 0.1722) x18
Tm (0.0334, 0.7413, 0.6785) x18

***

The following is a PBE calculation of a geometry-optimized Co2TePt structure, from Alexandria via LeMat-Bulk.

Output
Total moment, μB/cell: 6.1
N(E_F), states/eV/f.u.: 4.9
Crystal system: monoclinic
Energy relative to the elements, uncorrected, meV per atom: 225

Lattice parameters (Å, degrees): 8.6153 3.0891 4.6811 90.00 100.74 90.00
Space group Cm (No. 8)
Asymmetric unit:
Co (0.0000, 0.0000, 0.0000) x2
Co (0.2365, 0.5000, 0.1947) x2
Te (0.4912, 0.0000, 0.4440) x2
Pt (0.2532, 0.0000, 0.7517) x2

***

The following is a PBE calculation of a geometry-optimized AlAgRh structure, from Alexandria via LeMat-Bulk.

Output
Energy of formation, kJ/mol of formula units: -125
Total moment, μB/cell: 0.0
Energy above the most stable polymorph in this dataset, eV/atom: 0.0000
N(E_F), states/eV/f.u.: 1.0
Crystal system: tetragonal

Lattice parameters (Å, degrees): 3.0404 3.0404 9.9791 90.00 90.00 90.00
Space group I4mm (No. 107)
Asymmetric unit:
Al (0.0000, 0.0000, 0.0000) x2
Ag (0.0000, 0.0000, 0.6803) x2
Rh (0.0000, 0.0000, 0.3756) x2

***

The following is a PBE calculation of a geometry-optimized Ni5C4 structure, from Alexandria via LeMat-Bulk.

Output
Energy of formation, kJ/mol of formula units: 981
Total moment, μB/cell: 0.0
Energy above the most stable polymorph in this dataset, eV/atom: 0.2390
N(E_F), states/eV/f.u.: 5.9
Crystal system: tetragonal

Lattice parameters (Å, degrees): 9.0823 9.0823 2.5113 90.00 90.00 90.00
Space group I4/mmm (No. 139)
Asymmetric unit:
Ni (0.0000, 0.0000, 0.0000) x2
Ni (0.1635, 0.1635, 0.5000) x8
C (0.0000, 0.2154, 0.0000) x8

***

The following is a PBE calculation of a geometry-optimized Re2Ir6Rh structure, from Alexandria via LeMat-Bulk.

Output
Energy of formation, kJ/mol of formula units: -88
Total moment, μB/cell: 0.0
Energy above the most stable polymorph in this dataset, eV/atom: 0.0000
N(E_F), states/eV/f.u.: 6.6
Crystal system: monoclinic

Lattice parameters (Å, degrees): 11.9583 2.7342 8.2273 90.00 103.17 90.00
Space group C2/m (No. 12)
Asymmetric unit:
Re (0.1680, 0.0000, 0.2241) x4
Ir (0.0002, 0.5000, 0.3304) x4
Ir (0.1684, 0.0000, 0.8911) x4
Ir (0.1687, 0.0000, 0.5540) x4
Rh (0.0000, 0.5000, 0.0000) x2

***

The following is a PBE calculation of a geometry-optimized VOsRh structure, from Alexandria via LeMat-Bulk.

Output
Energy of formation, kJ/mol of formula units: -22
Total moment, μB/cell: 0.0
Energy above the most stable polymorph in this dataset, eV/atom: 0.0428
N(E_F), states/eV/f.u.: 3.3
Crystal system: monoclinic

Lattice parameters (Å, degrees): 8.8146 2.7286 7.2157 90.00 97.49 90.00
Space group C2/m (No. 12)
Asymmetric unit:
V (0.1123, 0.0000, 0.2427) x4
Os (0.1290, 0.5000, 0.9245) x4
Rh (0.1475, 0.0000, 0.6005) x4

***

The following is a PBE calculation of a geometry-optimized Eu3Au5S12 structure, from Alexandria via LeMat-Bulk.

Output
Total moment, μB/cell: 146.9
N(E_F), states/eV/f.u.: 23.5
Crystal system: cubic
Energy relative to the elements, uncorrected, meV per atom: -430

Lattice parameters (Å, degrees): 15.4741 15.4741 15.4741 90.00 90.00 90.00
Space group Ia-3d (No. 230)
Asymmetric unit:
Eu (0.0000, 0.2500, 0.1250) x24
Au (0.0000, 0.0000, 0.0000) x16
Au (0.0000, 0.2500, 0.3750) x24
S (0.0220, 0.0591, 0.6474) x96

***

The following is a PBE calculation of a geometry-optimized Tb2Y3Er7 structure, from Alexandria via LeMat-Bulk.

Output
Energy of formation, kJ/mol of formula units: 369
Total moment, μB/cell: 0.0
Energy above the most stable polymorph in this dataset, eV/atom: 0.2122
N(E_F), states/eV/f.u.: 19.4
Crystal system: monoclinic

Lattice parameters (Å, degrees): 6.1345 5.4776 12.0175 90.00 92.37 90.00
Space group P2/m (No. 10)
Asymmetric unit:
Tb (0.1003, 0.0000, 0.2805) x2
Y (0.0000, 0.0000, 0.0000) x1
Y (0.4480, 0.5000, 0.3377) x2
Er (0.0671, 0.5000, 0.8215) x2
Er (0.2670, 0.0000, 0.5468) x2
Er (0.4185, 0.0000, 0.8338) x2
Er (0.5000, 0.5000, 0.0000) x1

***

The following is a PBE calculation of a geometry-optimized Tc2P structure, from Alexandria via LeMat-Bulk.

Output
Energy of formation, kJ/mol of formula units: -100
Total moment, μB/cell: 0.0
Energy above the most stable polymorph in this dataset, eV/atom: 0.0925
N(E_F), states/eV/f.u.: 2.2
Crystal system: cubic

Lattice parameters (Å, degrees): 10.9293 10.9293 10.9293 90.00 90.00 90.00
Space group Fd-3m (No. 227, origin choice 2)
Asymmetric unit:
Tc (0.0000, 0.0000, 0.0000) x16
Tc (0.0545, 0.3750, 0.8750) x48
P (0.0277, 0.0277, 0.2223) x32

***

The following is a PBE calculation of a geometry-optimized TlCdGaSn structure, from Alexandria via LeMat-Bulk.

Output
Energy of formation, kJ/mol of formula units: 24
Total moment, μB/cell: 0.0
Energy above the most stable polymorph in this dataset, eV/atom: 0.0119
N(E_F), states/eV/f.u.: 1.3
Crystal system: cubic

Lattice parameters (Å, degrees): 7.4176 7.4176 7.4176 90.00 90.00 90.00
Space group F-43m (No. 216)
Asymmetric unit:
Tl (0.0000, 0.0000, 0.0000) x4
Cd (0.2500, 0.2500, 0.7500) x4
Ga (0.2500, 0.2500, 0.2500) x4
Sn (0.0000, 0.0000, 0.5000) x4

***

The following is a PBE calculation of a geometry-optimized TmInCl4 structure, from Alexandria via LeMat-Bulk.

Output
Total moment, μB/cell: 0.0
N(E_F), states/eV/f.u.: 0.0
Crystal system: monoclinic
Energy relative to the elements, uncorrected, meV per atom: -1799

Lattice parameters (Å, degrees): 9.6100 14.7225 6.5906 90.00 121.55 90.00
Space group C2/c (No. 15)
Asymmetric unit:
Tm (0.0000, 0.0800, 0.2500) x4
In (0.0000, 0.3374, 0.7500) x4
Cl (0.1564, 0.2036, 0.1788) x8
Cl (0.1891, 0.0450, 0.7059) x8

***

The following is a PBE calculation of a geometry-optimized Tl2P structure, from Alexandria via LeMat-Bulk.

Output
Energy of formation, kJ/mol of formula units: 74
Total moment, μB/cell: 0.0
Energy above the most stable polymorph in this dataset, eV/atom: 0.1896
N(E_F), states/eV/f.u.: 1.3
Crystal system: hexagonal

Lattice parameters (Å, degrees): 9.0445 9.0445 5.8366 90.00 90.00 120.00
Space group P6_3/mmc (No. 194)
Asymmetric unit:
Tl (0.0000, 0.0000, 0.0000) x2
Tl (0.1951, 0.3903, 0.2500) x6
P (0.3333, 0.6667, 0.5668) x4

***

The following is a PBE calculation of a geometry-optimized Y2AlAg structure, from Alexandria via LeMat-Bulk.

Output
Energy of formation, kJ/mol of formula units: -50
Total moment, μB/cell: 0.1
N(E_F), states/eV/f.u.: 3.5
Crystal system: orthorhombic

Lattice parameters (Å, degrees): 3.5923 4.5594 6.2323 90.00 90.00 90.00
Space group Pmm2 (No. 25)
Asymmetric unit:
Y (0.0000, 0.0000, 0.0000) x1
Y (0.5000, 0.5000, 0.3385) x1
Al (0.5000, 0.5000, 0.8409) x1
Ag (0.0000, 0.0000, 0.5226) x1

***

The following is a PBE calculation of a geometry-optimized DyCuPtAu structure, from Alexandria via LeMat-Bulk.

Output
Energy of formation, kJ/mol of formula units: -234
Total moment, μB/cell: 0.0
N(E_F), states/eV/f.u.: 1.2
Crystal system: cubic

Lattice parameters (Å, degrees): 6.6777 6.6777 6.6777 90.00 90.00 90.00
Space group F-43m (No. 216)
Asymmetric unit:
Dy (0.0000, 0.0000, 0.0000) x4
Cu (0.0000, 0.0000, 0.5000) x4
Pt (0.2500, 0.2500, 0.7500) x4
Au (0.2500, 0.2500, 0.2500) x4

***

The following is a PBE calculation of a geometry-optimized InH5Pd4 structure, from Alexandria via LeMat-Bulk.

Output
Total moment, μB/cell: 0.0
N(E_F), states/eV/f.u.: 2.4
Crystal system: orthorhombic
Total DFT energy (no corrections), eV per atom: -4.082

Lattice parameters (Å, degrees): 5.5926 8.1933 4.5936 90.00 90.00 90.00
Space group Pmmn (No. 59, origin choice 2)
Asymmetric unit:
In (0.2500, 0.2500, 0.1584) x2
H (0.0228, 0.5458, 0.2261) x8
H (0.2500, 0.7500, 0.6224) x2
Pd (0.0045, 0.7500, 0.3520) x4
Pd (0.2500, 0.5555, 0.8892) x4